A plane-wave DFT calculation with PBE was carried out for an optimized crystal structure of CaCeBiO.

a b c (Å): 4.6267 4.6267 9.2057
angles (deg): 90.00 90.00 90.00
Closest atoms and distances in Å follow each position.
Element x y z (fractional)
Ca 0.2500 0.7500 0.0000  4 O 2.43
Ca 0.7500 0.2500 0.0000  4 O 2.43
Ce 0.2500 0.2500 0.3227  1 O 2.23
Ce 0.7500 0.7500 0.6773  1 O 2.23
Bi 0.2500 0.2500 0.6941  5 Ce 3.28-3.42, 1 O 3.56, 4 Ca 3.64
Bi 0.7500 0.7500 0.3059  5 Ce 3.28-3.42, 1 O 3.56, 4 Ca 3.64
O 0.2500 0.2500 0.0809  1 Ce 2.23, 4 Ca 2.43
O 0.7500 0.7500 0.9191  1 Ce 2.23, 4 Ca 2.43

For the total energy, the calculation gives -48.798 eV/cell. For the uncorrected formation energy, the calculation gives -1.91 eV/atom. As for the crystal system: tetragonal.